VASP calculation (GGA-PBE) on a relaxed Tl3Pt crystal.

## Properties
- DFT formation energy (eV/atom) = 0.0138
- space-group type = Imm2 (44)
- density (g/cm³) = 12.6
- Fermi-level density of states (states/eV/cell) = 1.63
- raw total energy (eV per atom) = -3.271
- total magnetic moment (μB per formula unit) = 0.0
- ΔE to the lowest computed polymorph (meV per atom) = 36

Cell lengths 5.7015, 5.7015, 5.7015 Å; angles 139.94, 80.74, 113.30 degrees
Last column: nearest neighbours and their distance in Å.
Atoms (fractional coordinates):
Tl 0.0000 0.0000 0.0000  2 Pt 2.85
Tl 0.3617 0.5528 0.8090  3 Pt 2.92-3.20, 1 Tl 3.26
Tl 0.7438 0.5528 0.1910  3 Pt 2.92-3.20, 1 Tl 3.26
Pt 0.3311 0.8311 0.5000  6 Tl 2.85-2.92